No. 1
! CaPaBiAu, optimized geometry, DFT PBE; values from VASP
! E_tot (eV for the cell shown): -19.8
! Formation energy (eV per formula unit): -1.112
! M_tot (μB/atom): 0.457
&SYSTEM
  ibrav = 0, nat = 4, ntyp = 4
/
ATOMIC_SPECIES
Ca 40.08 Ca.upf
Pa 231.04 Pa.upf
Bi 208.98 Bi.upf
Au 196.97 Au.upf
ATOMIC_POSITIONS angstrom
Ca 0.0000 0.0000 0.0000
Pa 3.7771 3.7771 3.7771
Bi 1.8885 1.8885 1.8885
Au 5.6656 5.6656 5.6656
CELL_PARAMETERS angstrom
0.0000 3.7771 3.7771
3.7771 0.0000 3.7771
3.7771 3.7771 0.0000

---

No. 2
! Ca2BiPd3Au12, optimized geometry, DFT PBE; values from VASP
! E_tot (eV for the cell shown): -63.3
! Formation energy (eV per formula unit): -0.542
! M_tot (μB/atom): 0.000
&SYSTEM
  ibrav = 0, nat = 18, ntyp = 4
/
ATOMIC_SPECIES
Ca 40.08 Ca.upf
Bi 208.98 Bi.upf
Pd 106.42 Pd.upf
Au 196.97 Au.upf
ATOMIC_POSITIONS angstrom
Ca 0.0000 0.0000 3.8793
Ca 0.0000 0.0000 23.9762
Bi 0.0000 0.0000 13.9277
Pd -1.7893 -1.0330 9.2851
Pd -1.7892 1.0330 18.5703
Pd 0.0000 2.0660 9.2851
Au -2.0474 -1.1821 12.2184
Au 0.0000 -2.5449 7.9987
Au -2.2040 1.2725 7.9987
Au -2.2040 -1.2725 19.8568
Au 0.0000 -2.3641 15.6370
Au -2.0474 1.1821 15.6370
Au 2.0474 -1.1821 12.2184
Au 0.0000 2.3641 12.2184
Au 2.2040 1.2725 7.9986
Au 2.2040 -1.2725 19.8568
Au 0.0000 2.5449 19.8568
Au 2.0474 1.1821 15.6370
CELL_PARAMETERS angstrom
3.5785 2.0661 9.2851
-3.5785 2.0661 9.2851
0.0000 -4.1321 9.2851

---

No. 3
! CaPrBiAu, optimized geometry, DFT PBE; values from VASP
! E_tot (eV for the cell shown): -16.9
! Formation energy (eV per formula unit): -2.925
! M_tot (μB/atom): 0.000
&SYSTEM
  ibrav = 0, nat = 4, ntyp = 4
/
ATOMIC_SPECIES
Ca 40.08 Ca.upf
Pr 140.91 Pr.upf
Bi 208.98 Bi.upf
Au 196.97 Au.upf
ATOMIC_POSITIONS angstrom
Ca 0.0000 0.0000 0.0000
Pr 3.8490 3.8490 3.8490
Bi 1.9245 1.9245 1.9245
Au 5.7735 5.7735 5.7735
CELL_PARAMETERS angstrom
0.0000 3.8490 3.8490
3.8490 0.0000 3.8490
3.8490 3.8490 0.0000

---

No. 4
! CaBiRu2Au, optimized geometry, DFT PBE; values from VASP
! E_tot (eV for the cell shown): -22.8
! Formation energy (eV per formula unit): 4.889
! M_tot (μB/atom): 0.361
&SYSTEM
  ibrav = 0, nat = 5, ntyp = 4
/
ATOMIC_SPECIES
Ca 40.08 Ca.upf
Bi 208.98 Bi.upf
Ru 101.07 Ru.upf
Au 196.97 Au.upf
ATOMIC_POSITIONS angstrom
Ca 0.0000 0.0000 0.0000
Bi 2.5199 2.5199 2.6683
Ru 0.0000 2.5199 2.6683
Ru 2.5199 0.0000 2.6683
Au 2.5199 2.5199 0.0000
CELL_PARAMETERS angstrom
5.0398 0.0000 0.0000
0.0000 5.0398 0.0000
0.0000 0.0000 5.3367